This record from Alexandria describes a relaxed TbPm8Ga6 crystal. The functional is GGA-PBE.

a = 8.0910 Å, b = 8.0910 Å, c = 8.0910 Å
α = 65.99°, β = 65.99°, γ = 65.99°
With the nearest neighbours (Å) after each atom.
Atoms (fractional coordinates):
Tb  0.0000  0.0000  0.0000  6 Ga 3.09
Pm  0.1129  0.4467  0.7797  5 Ga 3.10-3.19
Pm  0.2203  0.8871  0.5533  5 Ga 3.10-3.19
Pm  0.3338  0.3338  0.3338  6 Ga 3.14
Pm  0.4467  0.7797  0.1129  5 Ga 3.10-3.19
Pm  0.5533  0.2203  0.8871  5 Ga 3.10-3.19
Pm  0.6662  0.6662  0.6662  6 Ga 3.14
Pm  0.7797  0.1129  0.4467  5 Ga 3.10-3.19
Pm  0.8871  0.5533  0.2203  5 Ga 3.10-3.19
Ga  0.0558  0.7266  0.3856  1 Tb 3.09, 7 Pm 3.10-3.19
Ga  0.2734  0.6144  0.9442  1 Tb 3.09, 7 Pm 3.10-3.19
Ga  0.3856  0.0558  0.7266  1 Tb 3.09, 7 Pm 3.10-3.19
Ga  0.6144  0.9442  0.2734  1 Tb 3.09, 7 Pm 3.10-3.19
Ga  0.7266  0.3856  0.0558  1 Tb 3.09, 7 Pm 3.10-3.19
Ga  0.9442  0.2734  0.6144  1 Tb 3.09, 7 Pm 3.10-3.19

Summary:
* calculated formation energy: -362 meV/atom
* symmetry: R-3